Computed, not measured: a relaxed V2InPb3O9 crystal at the GGA+U level of DFT.

Summary:
Volume: 13.3 Å³/atom
Density: 8.147 g/cm3
Total magnetization: 1.00 μB per formula unit
Total DFT energy (no corrections): -95.6 eV per formula unit

Lattice parameters (Å, degrees): 5.6843 5.6843 7.1545 90.00 90.00 120.00
Atoms (fractional coordinates):
V: 0.3333 0.6667 0.1852
V: 0.6667 0.3333 0.8148
In: 0.0000 0.0000 0.5000
Pb: 0.3333 0.6667 0.7343
Pb: 0.0000 0.0000 0.0000
Pb: 0.6667 0.3333 0.2657
O: 0.8286 0.1714 0.6902
O: 0.8286 0.6573 0.6902
O: 0.3427 0.1714 0.6902
O: 0.6573 0.8286 0.3098
O: 0.1714 0.3427 0.3098
O: 0.1714 0.8286 0.3098
O: 0.5000 0.0000 0.0000
O: 0.0000 0.5000 0.0000
O: 0.5000 0.5000 0.0000